The following is a DFT calculation (PBE with a Hubbard U) of a relaxed structure of LiMnPO4.

Cell lengths 6.352, 5.624, 8.491 Å; angles 90.00, 90.00, 90.00 degrees
Element x y z (fractional)
Li: 0.250 0.250 0.915
Li: 0.250 0.750 0.415
Li: 0.750 0.250 0.585
Li: 0.750 0.750 0.085
Mn: 0.000 0.750 0.750
Mn: 0.500 0.250 0.250
Mn: 0.500 0.750 0.750
Mn: 0.000 0.250 0.250
P: 0.250 0.250 0.603
P: 0.250 0.750 0.103
P: 0.750 0.250 0.897
P: 0.750 0.750 0.397
O: 0.049 0.250 0.502
O: 0.049 0.750 0.002
O: 0.250 0.972 0.217
O: 0.250 0.528 0.217
O: 0.250 0.028 0.717
O: 0.250 0.472 0.717
O: 0.451 0.250 0.502
O: 0.451 0.750 0.002
O: 0.549 0.250 0.998
O: 0.549 0.750 0.498
O: 0.750 0.528 0.283
O: 0.750 0.972 0.283
O: 0.750 0.028 0.783
O: 0.750 0.472 0.783
O: 0.951 0.250 0.998
O: 0.951 0.750 0.498

- crystal system = orthorhombic
- symmetry = Cmcm (63)
- electronic total energy (eV/atom) = -7.16
- Fermi-level density of states (states/eV per atom) = 0.00
- V (Å³/cell) = 303
- E above lowest polymorph (meV per atom) = 21